Material: ZnSi2BSe
Method: DFT, PBE
State: relaxed

Cell lengths 4.602, 4.602, 5.057 Å; angles 90.00, 90.00, 90.00 degrees
Atoms (fractional coordinates):
Zn: 0.000 0.000 0.000
Si: 0.000 0.500 0.000
Si: 0.500 0.000 0.000
B: 0.500 0.500 0.500
Se: 0.000 0.000 0.500

Properties
Formation energy from raw total energies, eV per formula unit: 7.98
DFT total energy, eV/f.u.: -14.30

---

Material: SrTl3Sb2Te6
Method: DFT, PBE
State: relaxed

Cell lengths 7.947, 7.947, 8.203 Å; angles 99.47, 99.47, 119.97 degrees
Atoms (fractional coordinates):
Sr: 0.000 0.000 0.000
Tl: 0.156 0.844 0.500
Tl: 0.500 0.500 0.500
Tl: 0.844 0.156 0.500
Sb: 0.331 0.669 0.000
Sb: 0.669 0.331 0.000
Te: 0.079 0.432 0.230
Te: 0.280 0.280 0.780
Te: 0.432 0.079 0.230
Te: 0.568 0.921 0.770
Te: 0.720 0.720 0.220
Te: 0.921 0.568 0.770

Properties
Formation energy from raw total energies, eV per formula unit: -5.28
DFT total energy, eV/f.u.: -41.16

---

Material: Ac2InHg
Method: DFT, PBE
State: relaxed

Cell lengths 4.052, 4.052, 8.253 Å; angles 90.00, 90.00, 90.00 degrees
Atoms (fractional coordinates):
Ac: 0.000 0.000 0.248
Ac: 0.000 0.000 0.752
In: 0.500 0.500 0.500
Hg: 0.500 0.500 0.000

Properties
DFT total energy, eV/f.u.: -13.03
Energy of formation, meV/atom: -444

---

The lowest DFT total energy belongs to which entry? SrTl3Sb2Te6

---

The highest DFT total energy belongs to which entry? Ac2InHg

---

Which formula does entry 1 have? ZnSi2BSe

---

Please write out number 3 again, unchanged.
Material: Ac2InHg
Method: DFT, PBE
State: relaxed

Cell lengths 4.052, 4.052, 8.253 Å; angles 90.00, 90.00, 90.00 degrees
Atoms (fractional coordinates):
Ac: 0.000 0.000 0.248
Ac: 0.000 0.000 0.752
In: 0.500 0.500 0.500
Hg: 0.500 0.500 0.000

Properties
DFT total energy, eV/f.u.: -13.03
Energy of formation, meV/atom: -444